<1>
Entry from Alexandria: a relaxed LaPaPt crystal (PBE-GGA).

Structure (extended XYZ):
```
3
Lattice="4.414 0.000 0.000 0.000 4.692 0.000 0.000 -2.346 4.063" Properties=species:S:1:pos:R:3 pbc="T T T"
Pt 0.737 0.000 0.000
La 2.943 2.346 1.354
Pa 0.735 0.000 2.709
```

- density (g cm⁻³) = 11.15
- crystal system = hexagonal
- symmetry = No. 187

---

<2>
Entry from Alexandria: a relaxed LaPaPt crystal (PBE-GGA).

Structure (extended XYZ):
```
6
Lattice="-1.592 3.922 -1.003 -2.993 -0.415 3.130 5.156 3.471 5.392" Properties=species:S:1:pos:R:3 pbc="T T T"
La -0.093 2.434 0.234
La 2.956 2.790 6.221
Pa 0.285 3.489 3.759
Pa 2.578 1.736 2.696
Pt 3.132 4.606 3.606
Pt -0.268 0.619 2.849
```

- density (g cm⁻³) = 12.05
- crystal system = tetragonal
- symmetry = No. 129

---

Most stable one: <2>, least stable one: <1>.

---

<1>
Entry from Alexandria: a relaxed LaPaRh3 crystal (PBE-GGA).

Structure (extended XYZ):
```
10
Lattice="5.953 0.000 0.005 2.976 5.154 0.003 2.981 1.718 7.743" Properties=species:S:1:pos:R:3 pbc="T T T"
Pa 2.730 2.012 4.920
Pa 5.703 0.294 0.942
La 5.713 3.729 3.548
La 8.685 5.448 5.934
Rh 5.708 5.306 6.780
Rh 4.249 1.140 2.984
Rh 7.185 1.140 2.988
Rh 7.072 2.943 6.781
Rh 4.343 2.942 6.779
Rh 8.692 3.753 2.991
```

- density (g cm⁻³) = 9.49
- crystal system = monoclinic
- symmetry = No. 8

---

<2>
Entry from Alexandria: a relaxed LaPaRh3 crystal (PBE-GGA).

Structure (extended XYZ):
```
10
Lattice="4.077 0.001 1.086 -0.001 5.570 -0.003 1.691 0.005 10.032" Properties=species:S:1:pos:R:3 pbc="T T T"
Pa 2.075 4.182 8.574
Pa 3.691 1.395 2.541
Rh 2.715 4.181 6.221
Rh 2.038 2.786 0.541
Rh 2.038 0.001 0.543
Rh 3.776 4.180 2.206
Rh 1.990 1.397 8.909
Rh 3.051 1.396 4.894
La 4.551 1.397 7.460
La 1.215 4.180 3.655
```

- density (g cm⁻³) = 10.36
- crystal system = monoclinic
- symmetry = No. 11

---

Most stable one: <2>, least stable one: <1>.

---

<1>
Entry from Alexandria: a relaxed LaPaRh2 crystal (PBE-GGA).

Structure (extended XYZ):
```
4
Lattice="3.905 0.000 0.000 1.952 3.382 0.000 1.952 1.127 7.272" Properties=species:S:1:pos:R:3 pbc="T T T"
La 3.905 2.254 3.706
Pa 5.857 3.382 7.238
Rh 1.952 1.127 5.674
Rh 1.952 1.127 1.562
```

- density (g cm⁻³) = 9.96
- crystal system = trigonal
- symmetry = No. 160

---

<2>
Entry from Alexandria: a relaxed LaPaRh2 crystal (PBE-GGA).

Structure (extended XYZ):
```
4
Lattice="-1.322 -3.730 0.607 2.580 -2.907 0.959 -0.478 -0.809 7.187" Properties=species:S:1:pos:R:3 pbc="T T T"
Rh 0.221 -1.903 1.994
Rh 0.558 -5.543 6.760
Pa 0.000 0.000 0.000
La 0.390 -3.723 4.377
```

- density (g cm⁻³) = 10.03
- crystal system = trigonal
- symmetry = No. 166

---

Most stable one: <2>, least stable one: <1>.